Computed, not measured: a relaxed CaMgMnO3 crystal at the GGA+U level of DFT.

a b c (Å): 3.0873 6.0810 8.9261
angles (deg): 95.61 90.00 90.00
Last column: magnetic moment on the atom in μB.
Element x y z (fractional)
O 0.2500 0.5959 0.8764  0.01
Ca 0.7500 0.8221 0.7718  0.01
Mg 0.2500 0.6469 0.1037  0.00
O 0.7500 0.8632 0.1834  0.02
Mg 0.7500 0.3531 0.8963  0.00
O 0.7500 0.4041 0.1236  0.01
O 0.2500 0.1368 0.8166  0.02
O 0.2500 0.8056 0.5584  0.12
Ca 0.2500 0.1779 0.2282  0.01
Mn 0.7500 0.8141 0.4077  4.54
O 0.7500 0.1944 0.4416  0.12
Mn 0.2500 0.1859 0.5923  4.54

- Crystal system: monoclinic
- Magnetic moment: 10.000 Bohr magnetons per cell
- Space group: P2_1/m
- Theoretical density: 3.33 Mg/m³
- Total DFT energy (no corrections): -6.572 eV/atom
- Volume: 13.90 Å³/atom